Entry 1:
VASP calculation (PBE) on a relaxed structure of Mg2FeSnRu.

- E: -3.69 eV per atom
- E_form: 1.301 eV per atom
- Size of the total moment: 3.93 μB per formula unit

abc: 5.0997 5.0997 4.9573
angles: 90.00 90.00 90.00
Closest atoms and distances in Å follow each position.
Space group P4/mmm (No. 123)
Unique sites:
Mg (0.0000, 0.5000, 0.0000) x2  2 Sn 2.55
Fe (0.0000, 0.0000, 0.5000) x1  8 Mg 3.56, 4 Ru 3.61
Sn (0.5000, 0.5000, 0.0000) x1  2 Ru 2.48, 4 Mg 2.55
Ru (0.5000, 0.5000, 0.5000) x1  2 Sn 2.48

---

Entry 2:
VASP calculation (PBE) on a relaxed structure of MgTaFeRu.

- E: -7.94 eV per atom
- E_form: -0.141 eV per atom
- Size of the total moment: 0.49 μB per formula unit

abc: 6.1619 6.1619 6.1619
angles: 90.00 90.00 90.00
Closest atoms and distances in Å follow each position.
Space group F-43m (No. 216)
Unique sites:
Mg (0.0000, 0.0000, 0.0000) x4  4 Fe 2.67, 4 Ru 2.67
Ta (0.0000, 0.0000, 0.5000) x4  4 Fe 2.67, 4 Ru 2.67
Fe (0.2500, 0.2500, 0.7500) x4  4 Ta 2.67, 4 Mg 2.67
Ru (0.2500, 0.2500, 0.2500) x4  4 Ta 2.67, 4 Mg 2.67

---

Entry 3:
VASP calculation (PBE) on a relaxed structure of MgFeTcRu.

- E: -7.24 eV per atom
- E_form: 0.181 eV per atom
- Size of the total moment: 2.43 μB per formula unit

abc: 6.1033 6.1033 6.1033
angles: 90.00 90.00 90.00
Closest atoms and distances in Å follow each position.
Space group F-43m (No. 216)
Unique sites:
Mg (0.0000, 0.0000, 0.0000) x4  4 Fe 2.64, 4 Ru 2.64
Fe (0.2500, 0.2500, 0.7500) x4  4 Tc 2.64, 4 Mg 2.64
Tc (0.0000, 0.0000, 0.5000) x4  4 Ru 2.64, 4 Fe 2.64
Ru (0.2500, 0.2500, 0.2500) x4  4 Mg 2.64, 4 Tc 2.64

---

Entry 4:
VASP calculation (PBE) on a relaxed structure of ThMgFeRu.

- E: -6.71 eV per atom
- E_form: -0.023 eV per atom
- Size of the total moment: 1.13 μB per formula unit

abc: 6.6136 6.6136 6.6136
angles: 90.00 90.00 90.00
Closest atoms and distances in Å follow each position.
Space group F-43m (No. 216)
Unique sites:
Th (0.0000, 0.0000, 0.0000) x4  4 Fe 2.86, 4 Ru 2.86
Mg (0.0000, 0.0000, 0.5000) x4  4 Ru 2.86, 4 Fe 2.86
Fe (0.2500, 0.2500, 0.7500) x4  4 Mg 2.86, 4 Th 2.86
Ru (0.2500, 0.2500, 0.2500) x4  4 Th 2.86, 4 Mg 2.86

---

Entry 5:
VASP calculation (PBE) on a relaxed structure of MgUFeRu.

- E: -7.65 eV per atom
- E_form: 0.007 eV per atom
- Size of the total moment: 0.72 μB per formula unit

abc: 6.4253 6.4253 6.4253
angles: 90.00 90.00 90.00
Closest atoms and distances in Å follow each position.
Space group F-43m (No. 216)
Unique sites:
Mg (0.0000, 0.0000, 0.0000) x4  4 Fe 2.78, 4 Ru 2.78
U (0.0000, 0.0000, 0.5000) x4  4 Ru 2.78, 4 Fe 2.78
Fe (0.2500, 0.2500, 0.2500) x4  4 U 2.78, 4 Mg 2.78
Ru (0.2500, 0.2500, 0.7500) x4  4 U 2.78, 4 Mg 2.78

---

Entry 6:
VASP calculation (PBE) on a relaxed structure of MgVFeRu.

- E: -7.14 eV per atom
- E_form: -0.028 eV per atom
- Size of the total moment: 0.77 μB per formula unit

abc: 5.9896 5.9896 5.9896
angles: 90.00 90.00 90.00
Closest atoms and distances in Å follow each position.
Space group F-43m (No. 216)
Unique sites:
Mg (0.0000, 0.0000, 0.0000) x4  4 Fe 2.59, 4 Ru 2.59
V (0.0000, 0.0000, 0.5000) x4  4 Fe 2.59, 4 Ru 2.59
Fe (0.2500, 0.2500, 0.7500) x4  4 Mg 2.59, 4 V 2.59
Ru (0.2500, 0.2500, 0.2500) x4  4 Mg 2.59, 4 V 2.59

---

Entry 7:
VASP calculation (PBE) on a relaxed structure of MgFeRuW.

- E: -8.07 eV per atom
- E_form: 0.004 eV per atom
- Size of the total moment: 0.00 μB per formula unit

abc: 6.0739 6.0739 6.0739
angles: 90.00 90.00 90.00
Closest atoms and distances in Å follow each position.
Space group F-43m (No. 216)
Unique sites:
Mg (0.0000, 0.0000, 0.0000) x4  4 Fe 2.63, 4 Ru 2.63
Fe (0.2500, 0.2500, 0.2500) x4  4 W 2.63, 4 Mg 2.63
Ru (0.2500, 0.2500, 0.7500) x4  4 W 2.63, 4 Mg 2.63
W (0.0000, 0.0000, 0.5000) x4  4 Ru 2.63, 4 Fe 2.63

---

Entry 8:
VASP calculation (PBE) on a relaxed structure of MgZnFeRu.

- E: -5.12 eV per atom
- E_form: 0.032 eV per atom
- Size of the total moment: 2.98 μB per formula unit

abc: 6.1001 6.1001 6.1001
angles: 90.00 90.00 90.00
Closest atoms and distances in Å follow each position.
Space group F-43m (No. 216)
Unique sites:
Mg (0.0000, 0.0000, 0.0000) x4  4 Fe 2.64, 4 Zn 2.64
Zn (0.2500, 0.2500, 0.7500) x4  4 Ru 2.64, 4 Mg 2.64
Fe (0.2500, 0.2500, 0.2500) x4  4 Ru 2.64, 4 Mg 2.64
Ru (0.0000, 0.0000, 0.5000) x4  4 Zn 2.64, 4 Fe 2.64

---

Entry 9:
VASP calculation (PBE) on a relaxed structure of Mg3FeS.

- E: -3.20 eV per atom
- Uncorrected formation energy: 0.276 eV/atom
- Distance to the lowest polymorph of the same formula: 0 meV/atom
- Size of the total moment: 2.52 μB per formula unit

abc: 4.7795 4.7795 4.7795
angles: 90.00 90.00 90.00
Closest atoms and distances in Å follow each position.
Space group Pm-3m (No. 221)
Unique sites:
Mg (0.0000, 0.0000, 0.5000) x3  2 S 2.39
Fe (0.5000, 0.5000, 0.5000) x1  12 Mg 3.38
S (0.0000, 0.0000, 0.0000) x1  6 Mg 2.39

---

Entry 10:
VASP calculation (PBE) on a relaxed structure of MgFe3S.

- E: -6.17 eV per atom
- Uncorrected formation energy: 0.053 eV/atom
- Distance to the lowest polymorph of the same formula: 0 meV/atom
- Size of the total moment: 5.89 μB per formula unit

abc: 4.1731 4.1731 4.1731
angles: 90.00 90.00 90.00
Closest atoms and distances in Å follow each position.
Space group Pm-3m (No. 221)
Unique sites:
Mg (0.0000, 0.0000, 0.0000) x1  12 Fe 2.95
Fe (0.0000, 0.5000, 0.5000) x3  2 S 2.09
S (0.5000, 0.5000, 0.5000) x1  6 Fe 2.09

---

Entry 11:
VASP calculation (PBE) on a relaxed structure of Mg2FeS.

- E: -3.85 eV per atom
- Uncorrected formation energy: 0.096 eV/atom
- Size of the total moment: 2.75 μB per formula unit

abc: 7.2634 7.2634 5.6023
angles: 90.00 90.00 90.00
Closest atoms and distances in Å follow each position.
Space group I-42d (No. 122)
Unique sites:
Mg (0.2128, 0.2500, 0.1250) x8  2 S 2.49
Fe (0.0000, 0.0000, 0.5000) x4  2 S 2.80, 4 Mg 2.85
S (0.0000, 0.0000, 0.0000) x4  4 Mg 2.49

---

Entry 12:
VASP calculation (PBE) on a relaxed structure of MgFeS3.

- E: -4.56 eV per atom
- Uncorrected formation energy: -0.068 eV/atom
- Distance to the lowest polymorph of the same formula: 0 meV/atom
- Size of the total moment: 3.30 μB per formula unit

abc: 4.5211 4.5211 4.5211
angles: 90.00 90.00 90.00
Closest atoms and distances in Å follow each position.
Space group Pm-3m (No. 221)
Unique sites:
Mg (0.0000, 0.0000, 0.0000) x1  12 S 3.20
Fe (0.5000, 0.5000, 0.5000) x1  6 S 2.26
S (0.0000, 0.5000, 0.5000) x3  2 Fe 2.26

---

Entry 13:
VASP calculation (PBE) on a relaxed structure of Mg2FeS2.

- E: -4.19 eV per atom
- Uncorrected formation energy: -0.205 eV/atom
- Distance to the lowest polymorph of the same formula: 0 meV/atom
- Size of the total moment: 3.57 μB per formula unit

abc: 7.2005 7.2005 3.3490
angles: 90.00 90.00 90.00
Closest atoms and distances in Å follow each position.
Space group P4/mbm (No. 127)
Unique sites:
Mg (0.1457, 0.3543, 0.0000) x4  6 S 2.58-2.77, 2 Fe 2.76
Fe (0.0000, 0.0000, 0.0000) x2  4 Mg 2.76
S (0.1610, 0.6610, 0.5000) x4  6 Mg 2.58-2.77

---

Entry 14:
VASP calculation (PBE) on a relaxed structure of MgFe3S.

- E: -4.60 eV per atom
- Uncorrected formation energy: 1.618 eV/atom
- Distance to the lowest polymorph of the same formula: 1565 meV/atom
- Size of the total moment: 8.27 μB per formula unit

abc: 4.5166 4.5166 4.5166
angles: 90.00 90.00 90.00
Closest atoms and distances in Å follow each position.
Space group Pm-3m (No. 221)
Unique sites:
Mg (0.0000, 0.0000, 0.0000) x1  6 Fe 2.26
Fe (0.0000, 0.0000, 0.5000) x3  2 Mg 2.26
S (0.5000, 0.5000, 0.5000) x1  12 Fe 3.19

---

Entry 15:
VASP calculation (PBE) on a relaxed structure of Mg3FeS.

- E: -2.80 eV per atom
- Uncorrected formation energy: 0.677 eV/atom
- Distance to the lowest polymorph of the same formula: 402 meV/atom
- Size of the total moment: 0.00 μB per formula unit

abc: 4.7985 4.7985 4.7985
angles: 90.00 90.00 90.00
Closest atoms and distances in Å follow each position.
Space group Pm-3m (No. 221)
Unique sites:
Mg (0.0000, 0.0000, 0.5000) x3  2 Fe 2.40
Fe (0.0000, 0.0000, 0.0000) x1  6 Mg 2.40
S (0.5000, 0.5000, 0.5000) x1  12 Mg 3.39

---

Entry 16:
VASP calculation (PBE) on a relaxed structure of Mg2FeS2.

- E: -3.73 eV per atom
- Uncorrected formation energy: 0.247 eV/atom
- Distance to the lowest polymorph of the same formula: 452 meV/atom
- Size of the total moment: 2.67 μB per formula unit

abc: 3.5761 3.5761 14.5494
angles: 90.00 90.00 90.00
Closest atoms and distances in Å follow each position.
Space group I4/mmm (No. 139)
Unique sites:
Mg (0.0000, 0.0000, 0.1054) x4  4 S 2.76, 4 Fe 2.96, 1 Mg 3.07
Fe (0.0000, 0.0000, 0.5000) x2  8 Mg 2.96
S (0.0000, 0.5000, 0.2500) x4  4 S 2.53, 4 Mg 2.76

---

Entry 17:
VASP calculation (PBE) on a relaxed structure of MgFeSe2S.

- E: -4.04 eV per atom
- Uncorrected formation energy: 0.190 eV/atom
- Size of the total moment: 0.00 μB per formula unit

abc: 4.3346 4.3346 5.6809
angles: 90.00 90.00 90.00
Closest atoms and distances in Å follow each position.
Space group P4/mmm (No. 123)
Unique sites:
Mg (0.0000, 0.0000, 0.0000) x1  2 Fe 2.84, 4 S 3.06
Fe (0.0000, 0.0000, 0.5000) x1  4 Se 2.17
Se (0.0000, 0.5000, 0.5000) x2  2 Fe 2.17
S (0.5000, 0.5000, 0.0000) x1  4 Mg 3.06

---

Entry 18:
VASP calculation (PBE) on a relaxed structure of MgFe2TcS.

- E: -5.80 eV per atom
- Uncorrected formation energy: 0.805 eV/atom
- Size of the total moment: 5.59 μB per formula unit

abc: 4.7358 4.7358 4.3869
angles: 90.00 90.00 90.00
Closest atoms and distances in Å follow each position.
Space group P4/mmm (No. 123)
Unique sites:
Mg (0.0000, 0.0000, 0.0000) x1  8 Fe 3.23, 4 S 3.35
Fe (0.0000, 0.5000, 0.5000) x2  2 Tc 2.37
Tc (0.5000, 0.5000, 0.5000) x1  2 S 2.19, 4 Fe 2.37
S (0.5000, 0.5000, 0.0000) x1  2 Tc 2.19

---

Entry 19:
VASP calculation (PBE) on a relaxed structure of MgTiFeS2.

- E: -5.14 eV per atom
- Uncorrected formation energy: 0.099 eV/atom
- Size of the total moment: 0.00 μB per formula unit

abc: 4.5735 4.5735 4.1903
angles: 90.00 90.00 90.00
Closest atoms and distances in Å follow each position.
Space group P4/mmm (No. 123)
Unique sites:
Mg (0.0000, 0.0000, 0.0000) x1  8 S 3.10, 4 Ti 3.23
Ti (0.5000, 0.5000, 0.0000) x1  2 Fe 2.10
Fe (0.5000, 0.5000, 0.5000) x1  2 Ti 2.10, 4 S 2.29
S (0.0000, 0.5000, 0.5000) x2  2 Fe 2.29

---

Entry 20:
VASP calculation (PBE) on a relaxed structure of MgTiFeS4.

- E: -5.86 eV per atom
- Uncorrected formation energy: -0.935 eV/atom
- Size of the total moment: 4.05 μB per formula unit

abc: 7.2068 7.2122 10.5202
angles: 90.00 90.00 90.00
Closest atoms and distances in Å follow each position.
Space group Imma (No. 74)
Unique sites:
Mg (0.0000, 0.2500, 0.1153) x4  4 S 2.41-2.44
Ti (0.2500, 0.2500, 0.7500) x4  6 S 2.46
Fe (0.0000, 0.0000, 0.5000) x4  6 S 2.44-2.56
S (0.0000, 0.0175, 0.7430) x8  1 Mg 2.44, 2 Ti 2.46, 1 Fe 2.56
S (0.2259, 0.2500, 0.5166) x8  1 Mg 2.41, 2 Fe 2.44, 1 Ti 2.46

---

Entry 21:
VASP calculation (PBE) on a relaxed structure of Mg2V3FeS8.

- E: -6.01 eV per atom
- Uncorrected formation energy: -0.862 eV/atom
- Size of the total moment: 7.03 μB per formula unit

abc: 7.1236 7.1236 17.8014
angles: 90.00 90.00 120.00
Closest atoms and distances in Å follow each position.
Space group R-3m (No. 166, hexagonal axes)
Unique sites:
Mg (0.0000, 0.0000, 0.1254) x6  4 S 2.42
V (0.0000, 0.5000, 0.0000) x9  6 S 2.42-2.44
Fe (0.0000, 0.0000, 0.5000) x3  6 S 2.35
S (0.0000, 0.0000, 0.2612) x6  1 Mg 2.42, 3 V 2.42
S (0.0391, 0.5196, 0.2504) x18  1 Fe 2.35, 1 Mg 2.42, 2 V 2.44

---

Entry 22:
VASP calculation (PBE) on a relaxed structure of MgVFeS4.

- E: -5.85 eV per atom
- Uncorrected formation energy: -0.752 eV/atom
- Size of the total moment: 2.97 μB per formula unit

abc: 6.9524 7.1440 10.1788
angles: 90.00 90.00 90.00
Closest atoms and distances in Å follow each position.
Space group Imma (No. 74)
Unique sites:
Mg (0.0000, 0.2500, 0.1255) x4  4 S 2.42
V (0.2500, 0.2500, 0.7500) x4  6 S 2.41-2.45
Fe (0.0000, 0.0000, 0.5000) x4  6 S 2.33
S (0.0000, 0.0173, 0.7288) x8  1 Fe 2.33, 2 V 2.41, 1 Mg 2.42
S (0.2145, 0.2500, 0.5109) x8  2 Fe 2.33, 1 Mg 2.42, 1 V 2.45

---

Entry 23:
VASP calculation (PBE) on a relaxed structure of Mg2Fe3WS8.

- E: -5.83 eV per atom
- Uncorrected formation energy: -0.507 eV/atom
- Size of the total moment: 11.09 μB per formula unit

abc: 7.2145 7.2145 17.9319
angles: 90.00 90.00 120.00
Closest atoms and distances in Å follow each position.
Space group R-3m (No. 166, hexagonal axes)
Unique sites:
Mg (0.0000, 0.0000, 0.1342) x6  4 S 2.42-2.43
Fe (0.0000, 0.5000, 0.0000) x9  6 S 2.38-2.50
W (0.0000, 0.0000, 0.5000) x3  6 S 2.43
S (0.0000, 0.0000, 0.2689) x6  3 Fe 2.38, 1 Mg 2.42
S (0.0273, 0.5136, 0.2499) x18  1 W 2.43, 1 Mg 2.43, 2 Fe 2.50

---

Entry 24:
VASP calculation (PBE) on a relaxed structure of Mg2FeSb.

- E: -3.84 eV per atom
- Uncorrected formation energy: 0.108 eV/atom
- Distance to the lowest polymorph of the same formula: 29 meV/atom
- Size of the total moment: 2.08 μB per formula unit

abc: 3.3336 4.2077 5.8928
angles: 90.00 106.22 90.00
Closest atoms and distances in Å follow each position.
Space group Pm (No. 6)
Unique sites:
Mg (0.0000, 0.0000, 0.0000) x1  1 Fe 2.72, 4 Sb 3.02
Mg (0.3467, 0.5000, 0.6947) x1  4 Fe 2.86, 3 Sb 3.05-3.10, 4 Mg 3.19-3.20
Fe (0.7600, 0.0000, 0.5200) x1  2 Sb 2.62, 5 Mg 2.72-2.86
Sb (0.6208, 0.5000, 0.2432) x1  2 Fe 2.62

---

Entry 25:
VASP calculation (PBE) on a relaxed structure of Mg6FeSb.

- E: -2.68 eV per atom
- Uncorrected formation energy: 0.090 eV/atom
- Distance to the lowest polymorph of the same formula: 15 meV/atom
- Size of the total moment: 2.40 μB per formula unit

abc: 4.8927 6.3130 10.7840
angles: 90.00 90.00 90.00
Closest atoms and distances in Å follow each position.
Space group Amm2 (No. 38)
Unique sites:
Mg (0.0000, 0.0000, 0.0000) x2  10 Mg 3.04-3.20, 2 Sb 3.06
Mg (0.0000, 0.0000, 0.4880) x2  10 Mg 2.99-3.26, 2 Fe 3.00
Mg (0.0000, 0.2337, 0.2474) x4  7 Mg 2.95-3.26, 2 Fe 2.98, 2 Sb 3.10
Mg (0.5000, 0.2469, 0.5771) x4  8 Mg 3.04-3.20, 2 Sb 3.11-3.13, 2 Fe 3.12-3.13
Fe (0.5000, 0.0000, 0.3264) x2  10 Mg 2.98-3.13, 2 Sb 3.16
Sb (0.5000, 0.0000, 0.8292) x2  10 Mg 3.06-3.13, 2 Fe 3.16

---

Entry 26:
VASP calculation (PBE) on a relaxed structure of Mg2FeSb.

- E: -3.77 eV per atom
- Uncorrected formation energy: 0.173 eV/atom
- Distance to the lowest polymorph of the same formula: 94 meV/atom
- Size of the total moment: 2.61 μB per formula unit

abc: 5.8060 8.5396 3.1687
angles: 90.00 90.21 90.00
Closest atoms and distances in Å follow each position.
Space group C2/m (No. 12)
Unique sites:
Mg (0.2500, 0.2500, 0.0000) x4  4 Mg 2.90-3.17, 4 Fe 3.03, 4 Sb 3.03
Fe (0.0000, 0.0000, 0.5000) x2  2 Sb 2.90, 8 Mg 3.03, 2 Fe 3.17
Sb (0.0000, 0.5000, 0.5000) x2  2 Fe 2.90, 8 Mg 3.03, 2 Sb 3.17

---

Entry 27:
VASP calculation (PBE) on a relaxed structure of MgFe2Sb.

- E: -5.36 eV per atom
- Uncorrected formation energy: 0.297 eV/atom
- Size of the total moment: 0.53 μB per formula unit

abc: 3.1192 3.1192 6.0218
angles: 90.00 90.00 90.00
Closest atoms and distances in Å follow each position.
Space group P4/mmm (No. 123)
Unique sites:
Mg (0.0000, 0.0000, 0.0000) x1  8 Fe 2.73, 2 Sb 3.01
Fe (0.5000, 0.5000, 0.2681) x2  4 Sb 2.61, 4 Mg 2.73, 1 Fe 2.79
Sb (0.0000, 0.0000, 0.5000) x1  8 Fe 2.61